LaNbGe PBE relaxed; Fermi-level density of states = 1.95 states/eV per cell; size of the total moment = 0.00 μB/f.u.; energy of formation from the pure elements = -0.15 eV per atom; uncorrected energy = -6.685 eV/atom
1.0
3.623 0.000 0.000
0.000 3.851 0.000
0.000 0.000 5.397
La Nb Ge
1 1 1
Direct
0.000 0.000 0.000
0.000 0.500 0.500
0.500 0.000 0.500



Be3Zn PBE relaxed; Fermi-level density of states = 0.66 states/eV per cell; size of the total moment = 0.00 μB/f.u.; energy of formation from the pure elements = 0.14 eV per atom; uncorrected energy = -2.976 eV/atom
1.0
2.454 -4.253 0.000
2.454 4.253 0.000
0.000 0.000 3.724
Be Zn
6 2
Direct
0.067 0.399 0.750
0.081 0.919 0.750
0.399 0.067 0.250
0.601 0.933 0.750
0.919 0.081 0.250
0.933 0.601 0.250
0.405 0.595 0.250
0.595 0.405 0.750



Sc3TcO PBE relaxed; Fermi-level density of states = 8.51 states/eV per cell; size of the total moment = 0.00 μB/f.u.; formation energy from raw total energies = -1.290 eV/atom; uncorrected energy = -8.154 eV/atom
1.0
2.309 -2.309 0.000
2.309 2.309 0.000
0.000 0.000 15.257
Sc Tc O
6 2 2
Direct
0.002 0.998 0.599
0.002 0.998 0.901
0.498 0.502 0.250
0.502 0.498 0.750
0.998 0.002 0.099
0.998 0.002 0.401
0.500 0.500 0.000
0.500 0.500 0.500
0.002 0.998 0.750
0.998 0.002 0.250



Cs3Ag2PbCl9 PBE relaxed; Fermi-level density of states = 6.81 states/eV per cell; size of the total moment = 0.00 μB/f.u.; formation energy from raw total energies = -1.217 eV/atom; uncorrected energy = -3.123 eV/atom
1.0
7.563 0.000 0.000
-3.781 6.550 0.000
0.000 0.000 9.309
Cs Ag Pb Cl
3 2 1 9
Direct
0.000 0.000 0.000
0.333 0.667 0.679
0.667 0.333 0.321
0.333 0.667 0.156
0.667 0.333 0.844
0.000 0.000 0.500
0.000 0.500 0.000
0.171 0.342 0.329
0.171 0.829 0.329
0.342 0.171 0.671
0.500 0.000 0.000
0.500 0.500 0.000
0.658 0.829 0.329
0.829 0.171 0.671
0.829 0.658 0.671



KNaAuI PBE relaxed; Fermi-level density of states = 0.00 states/eV per cell; size of the total moment = 0.00 μB/f.u.; formation energy from raw total energies = -0.694 eV/atom; uncorrected energy = -2.505 eV/atom
1.0
0.000 4.022 4.022
4.022 0.000 4.022
4.022 4.022 0.000
K Na Au I
1 1 1 1
Direct
0.000 0.000 0.000
0.500 0.500 0.500
0.750 0.750 0.750
0.250 0.250 0.250



Sm12Cu6Pb PBE relaxed; Fermi-level density of states = 19.27 states/eV per cell; size of the total moment = 0.00 μB/f.u.; energy of formation from the pure elements = -0.16 eV per atom; uncorrected energy = -4.632 eV/atom
1.0
-5.060 5.060 5.060
5.060 -5.060 5.060
5.060 5.060 -5.060
Sm Cu Pb
12 6 1
Direct
0.113 0.301 0.812
0.188 0.490 0.301
0.188 0.887 0.699
0.301 0.188 0.490
0.301 0.812 0.113
0.490 0.301 0.188
0.510 0.699 0.812
0.699 0.188 0.887
0.699 0.812 0.510
0.812 0.113 0.301
0.812 0.510 0.699
0.887 0.699 0.188
0.122 0.500 0.622
0.378 0.878 0.500
0.500 0.378 0.878
0.500 0.622 0.122
0.622 0.122 0.500
0.878 0.500 0.378
0.000 0.000 0.000



SrSm2Pd PBE relaxed; Fermi-level density of states = 5.87 states/eV per cell; size of the total moment = 0.00 μB/f.u.; energy of formation from the pure elements = -0.28 eV per atom; uncorrected energy = -4.359 eV/atom
1.0
3.664 0.000 0.000
0.000 3.664 0.000
0.000 0.000 9.790
Sr Sm Pd
1 2 1
Direct
0.000 0.000 0.000
0.500 0.500 0.330
0.500 0.500 0.670
0.000 0.000 0.500